Record 1
A plane-wave DFT calculation with PBE-GGA was carried out for a geometry-optimized Tb12AlIn6 structure.

a = 8.8450 Å, b = 8.8450 Å, c = 8.8450 Å
α = 107.00°, β = 107.00°, γ = 107.00°
Last column: nearest neighbours and their distance in Å.
Fractional coordinates of all 19 atoms:
1 Tb 0.6715 0.5709 0.9311  3 In 3.16-3.24, 2 Tb 3.35-3.50
2 Tb 0.4291 0.0689 0.3285  3 In 3.16-3.24, 2 Tb 3.35-3.50
3 Tb 0.5709 0.9311 0.6715  3 In 3.16-3.24, 2 Tb 3.35-3.50
4 Tb 0.0332 0.9019 0.3220  3 In 3.13-3.30, 1 Al 3.17, 5 Tb 3.35-3.50
5 Tb 0.3285 0.4291 0.0689  3 In 3.16-3.24, 2 Tb 3.35-3.50
6 Tb 0.9019 0.3220 0.0332  3 In 3.13-3.30, 1 Al 3.17, 5 Tb 3.35-3.50
7 Tb 0.6780 0.9668 0.0981  3 In 3.13-3.30, 1 Al 3.17, 5 Tb 3.35-3.50
8 Tb 0.3220 0.0332 0.9019  3 In 3.13-3.30, 1 Al 3.17, 5 Tb 3.35-3.50
9 Tb 0.9668 0.0981 0.6780  3 In 3.13-3.30, 1 Al 3.17, 5 Tb 3.35-3.50
10 Tb 0.9311 0.6715 0.5709  3 In 3.16-3.24, 2 Tb 3.35-3.50
11 Tb 0.0981 0.6780 0.9668  3 In 3.13-3.30, 1 Al 3.17, 5 Tb 3.35-3.50
12 Tb 0.0689 0.3285 0.4291  3 In 3.16-3.24, 2 Tb 3.35-3.50
13 In 0.6564 0.3470 0.2241  6 Tb 3.13-3.30
14 In 0.6530 0.7759 0.3436  6 Tb 3.13-3.30
15 In 0.2241 0.6564 0.3470  6 Tb 3.13-3.30
16 In 0.7759 0.3436 0.6530  6 Tb 3.13-3.30
17 In 0.3436 0.6530 0.7759  6 Tb 3.13-3.30
18 In 0.3470 0.2241 0.6564  6 Tb 3.13-3.30
19 Al 0.0000 0.0000 0.0000  6 Tb 3.17

Computed properties:
For the final energy, the calculation gives -4.12 eV/atom.

Record 2
A plane-wave DFT calculation with PBE-GGA was carried out for a geometry-optimized TbThAlIn structure.

a = 5.3222 Å, b = 5.3222 Å, c = 5.3222 Å
α = 60.00°, β = 60.00°, γ = 60.00°
Last column: nearest neighbours and their distance in Å.
Fractional coordinates of all 4 atoms:
1 Al 0.2500 0.2500 0.2500  4 Tb 3.26, 4 Th 3.26
2 Th 0.0000 0.0000 0.0000  4 Al 3.26, 4 In 3.26
3 In 0.7500 0.7500 0.7500  4 Th 3.26, 4 Tb 3.26
4 Tb 0.5000 0.5000 0.5000  4 In 3.26, 4 Al 3.26

Computed properties:
For the final energy, the calculation gives -4.91 eV/atom.

Record 3
A plane-wave DFT calculation with PBE-GGA was carried out for a geometry-optimized TbTmAlIn structure.

a = 5.1961 Å, b = 5.1961 Å, c = 5.1961 Å
α = 60.00°, β = 60.00°, γ = 60.00°
Last column: nearest neighbours and their distance in Å.
Fractional coordinates of all 4 atoms:
1 Al 0.7500 0.7500 0.7500  4 Tm 3.18, 4 Tb 3.18
2 Tm 0.0000 0.0000 0.0000  4 Al 3.18, 4 In 3.18
3 In 0.2500 0.2500 0.2500  4 Tb 3.18, 4 Tm 3.18
4 Tb 0.5000 0.5000 0.5000  4 In 3.18, 4 Al 3.18

Computed properties:
For the energy relative to the lowest polymorph listed for this composition, the calculation gives 0.050 eV/f.u.

Record 4
A plane-wave DFT calculation with PBE-GGA was carried out for a geometry-optimized TbTmAlIn structure.

a = 3.5785 Å, b = 3.5785 Å, c = 7.7111 Å
α = 90.00°, β = 90.00°, γ = 90.00°
Last column: nearest neighbours and their distance in Å.
Fractional coordinates of all 4 atoms:
1 Tm 0.5000 0.5000 0.5950  4 Al 3.10, 4 In 3.21
2 Tb 0.5000 0.5000 0.1195  4 Al 3.15, 4 In 3.27
3 In 0.0000 0.0000 0.8513  4 Tm 3.21, 4 Tb 3.27, 4 In 3.58
4 Al 0.0000 0.0000 0.3622  4 Tm 3.10, 4 Tb 3.15

Computed properties:
For the energy relative to the lowest polymorph listed for this composition, the calculation gives 0.000 eV/f.u.

Number 1 is which compound?
Tb12AlIn6